1.
Zr2Ni: optimized geometry, PBE.

Geometry as POSCAR:
```
Zr2Ni
1.0
3.2235 0.0000 0.0000
0.0000 6.1364 0.0000
0.0000 0.0000 6.3438
Zr Ni
4 2
direct
0.5000 0.7152 0.1541
0.5000 0.2848 0.8459
0.0000 0.7848 0.6541
0.0000 0.2152 0.3459
0.5000 0.5000 0.5000
0.0000 0.0000 0.0000
```

The formation energy comes out at 58 meV per atom. The calculation puts the total magnetization at 0.0 μB/cell. For the theoretical density, the calculation gives 6.4 g cm⁻³. The space group is Pnnm.


2.
Zr2Ni: optimized geometry, PBE.

Geometry as POSCAR:
```
Zr2Ni
1.0
0.8568 -1.6769 12.9019
1.3748 2.5211 12.7184
-3.2088 -0.1563 -12.6366
Zr Ni
4 2
direct
0.3189 0.8189 0.5000
0.1811 0.6811 0.5000
0.5689 0.5689 0.0000
0.4311 0.4311 0.0000
0.7500 0.2500 0.5000
0.0000 0.0000 0.0000
```

The formation energy comes out at -46 meV per atom. The calculation puts the total magnetization at 0.0 μB/cell. For the theoretical density, the calculation gives 6.9 g cm⁻³. The space group is I4_1/amd.


3.
ZrNi2: optimized geometry, PBE.

Geometry as POSCAR:
```
ZrNi2
1.0
4.9345 0.0000 0.0000
2.4673 4.2734 0.0000
-2.4673 -1.4245 4.0290
Zr Ni
2 4
direct
0.1250 0.6250 0.8750
0.8750 0.3750 0.1250
0.0000 0.0000 0.5000
0.5000 0.5000 0.5000
0.5000 0.0000 0.5000
0.5000 0.0000 0.0000
```

The formation energy comes out at -411 meV per atom. The calculation puts the total magnetization at 0.0 μB/cell. For the theoretical density, the calculation gives 8.2 g cm⁻³. The space group is Fd-3m.


4.
Zr2Ni: optimized geometry, PBE.

Geometry as POSCAR:
```
Zr2Ni
1.0
-0.6372 -2.7248 -1.6327
2.9999 1.2233 0.0019
1.4100 -3.4662 5.2344
Zr Ni
2 1
direct
0.3333 0.6667 0.3026
0.6667 0.3333 0.6974
0.0000 0.0000 0.0000
```

The formation energy comes out at -39 meV per atom. The calculation puts the total magnetization at 0.0 μB/cell. For the theoretical density, the calculation gives 6.8 g cm⁻³. The space group is P-3m1.


5.
ZrNi2: optimized geometry, PBE.

Geometry as POSCAR:
```
ZrNi2
1.0
3.5062 0.0000 0.0000
-1.7531 5.5457 -0.0249
0.0000 2.4292 4.5609
Ni Zr
4 2
direct
0.4072 0.8144 0.8152
0.6483 0.2967 0.5737
0.0277 0.0555 0.4499
0.0278 0.0556 0.9390
0.3508 0.7015 0.3715
0.7048 0.4096 0.0174
```

The formation energy comes out at -369 meV per atom. The calculation puts the total magnetization at 0.0 μB/cell. For the theoretical density, the calculation gives 7.8 g cm⁻³. The space group is Immm.


6.
Zr5Ni4: optimized geometry, PBE.

Geometry as POSCAR:
```
Zr5Ni4
1.0
3.1875 4.5637 2.8702
-5.7012 -2.5712 0.3330
3.2201 -4.8402 2.3301
Zr Ni
5 4
direct
0.3203 0.3203 0.6407
0.0000 0.0000 0.0000
0.6797 0.3203 0.0000
0.3203 0.6797 0.0000
0.6797 0.6797 0.3593
0.3536 0.0000 0.3536
0.0000 0.3536 0.3536
0.6464 0.0000 0.6464
0.0000 0.6464 0.6464
```

The formation energy comes out at -19 meV per atom. The calculation puts the total magnetization at 0.0 μB/cell. For the theoretical density, the calculation gives 7.4 g cm⁻³. The value obtained for the offset from the most stable computed form is 0.224 eV/atom. The space group is I4/mmm.


7.
Zr7Ni3: optimized geometry, PBE.

Geometry as POSCAR:
```
Zr7Ni3
1.0
-4.4303 -1.5342 3.1690
5.0858 -6.1342 4.1404
-0.5401 8.3408 3.2828
Zr Ni
14 6
direct
0.9338 0.8698 0.1302
0.1365 0.4575 0.9149
0.4338 0.1302 0.8698
0.4338 0.1302 0.2604
0.6365 0.5425 0.0851
0.4338 0.7396 0.8698
0.9338 0.8698 0.7396
0.9338 0.2604 0.1302
0.6365 0.9149 0.4575
0.6365 0.5425 0.4575
0.5945 0.3333 0.6667
0.1365 0.4575 0.5425
0.0945 0.6667 0.3333
0.1365 0.0851 0.5425
0.8675 0.1885 0.8115
0.3675 0.8115 0.6230
0.3675 0.3770 0.1885
0.8675 0.6230 0.8115
0.8675 0.1885 0.3770
0.3675 0.8115 0.1885
```

The formation energy comes out at -267 meV per atom. The calculation puts the total magnetization at 0.0 μB/cell. For the theoretical density, the calculation gives 6.8 g cm⁻³. The space group is P6_3mc.


8.
Zr2Ni: optimized geometry, PBE.

Geometry as POSCAR:
```
Zr2Ni
1.0
3.2733 0.0000 0.0000
1.6366 5.2415 0.0367
0.0000 4.3423 6.6827
Ni Zr
2 4
direct
0.6692 0.6615 0.7078
0.9419 0.1162 0.0145
0.6443 0.7114 0.2952
0.9668 0.0664 0.4270
0.3810 0.2380 0.7137
0.2301 0.5397 0.0085
```

The formation energy comes out at -295 meV per atom. The calculation puts the total magnetization at 0.0 μB/cell. For the theoretical density, the calculation gives 7.0 g cm⁻³. The space group is C2/m.


9.
ZrNi2: optimized geometry, PBE.

Geometry as POSCAR:
```
ZrNi2
1.0
5.3317 -5.3386 -2.7328
6.0035 -4.8847 2.1197
-7.2821 3.2979 0.6997
Ni Zr
4 2
direct
0.5767 0.5767 0.0000
0.4233 0.4233 0.0000
0.1733 0.6733 0.5000
0.3267 0.8267 0.5000
0.0000 0.0000 0.0000
0.7500 0.2500 0.5000
```

The formation energy comes out at -291 meV per atom. The calculation puts the total magnetization at 0.0 μB/cell. For the theoretical density, the calculation gives 7.5 g cm⁻³. The space group is I4_1/amd.


10.
Zr4Ni5: optimized geometry, PBE.

Geometry as POSCAR:
```
Zr4Ni5
1.0
-1.1312 -5.1004 3.4600
-2.5789 5.4398 -1.7388
-0.5702 -2.8232 -5.5650
Zr Ni
4 5
direct
0.6954 0.0000 0.6954
0.0000 0.6954 0.6954
0.3046 0.0000 0.3046
0.0000 0.3046 0.3046
0.3433 0.6567 0.0000
0.6567 0.6567 0.3134
0.6567 0.3433 0.0000
0.3433 0.3433 0.6866
0.0000 0.0000 0.0000
```

The formation energy comes out at -255 meV per atom. The calculation puts the total magnetization at 0.0 μB/cell. For the theoretical density, the calculation gives 7.6 g cm⁻³. The value obtained for the offset from the most stable computed form is 0.009 eV/atom. The space group is I4/mmm.


11.
Zr3Ni5: optimized geometry, PBE.

Geometry as POSCAR:
```
Zr3Ni5
1.0
0.1363 5.2793 -0.7877
-1.7389 -2.1030 -4.5895
-4.1722 0.3216 1.4334
Ni Zr
5 3
direct
0.2953 0.2953 0.5000
0.5000 0.0000 0.0000
0.7047 0.7047 0.5000
0.0000 0.0000 0.0000
0.0000 0.5000 0.0000
0.5000 0.5000 0.0000
0.7927 0.2073 0.5000
0.2073 0.7927 0.5000
```

The formation energy comes out at -337 meV per atom. The calculation puts the total magnetization at 0.0 μB/cell. For the theoretical density, the calculation gives 7.8 g cm⁻³. The space group is Cmmm.


12.
Zr2Ni7: optimized geometry, PBE.

Geometry as POSCAR:
```
Zr2Ni7
1.0
-3.8903 -2.8164 0.3370
0.5054 -4.7799 0.2796
-0.6412 -1.7875 12.0525
Ni Zr
14 4
direct
0.2777 0.2777 0.1669
0.5000 0.5000 0.0000
0.0000 0.5000 0.0000
0.7223 0.7223 0.8331
0.3892 0.3892 0.8323
0.6131 0.1082 0.6657
0.3869 0.8918 0.3343
0.6108 0.6108 0.1677
0.3869 0.3869 0.3343
0.8918 0.3869 0.3343
0.5000 0.5000 0.5000
0.1082 0.6131 0.6657
0.5000 0.0000 0.0000
0.6131 0.6131 0.6657
0.9513 0.9513 0.1462
0.1462 0.1462 0.5614
0.8538 0.8538 0.4386
0.0487 0.0487 0.8538
```

The formation energy comes out at -380 meV per atom. The calculation puts the total magnetization at 0.0 μB/cell. For the theoretical density, the calculation gives 8.3 g cm⁻³. The value obtained for the offset from the most stable computed form is 0.046 eV/atom. The space group is R-3m.


13.
Zr7Ni: optimized geometry, PBE.

Geometry as POSCAR:
```
Zr7Ni
1.0
0.0000 4.4267 4.4267
4.4267 0.0000 4.4267
4.4267 4.4267 0.0000
Zr Ni
7 1
direct
0.5000 0.0000 0.5000
0.0000 0.5000 0.5000
0.0000 0.5000 0.0000
0.5000 0.5000 0.0000
0.0000 0.0000 0.5000
0.5000 0.0000 0.0000
0.5000 0.5000 0.5000
0.0000 0.0000 0.0000
```

The formation energy comes out at 92 meV per atom. The calculation puts the total magnetization at 0.0 μB/cell. For the theoretical density, the calculation gives 6.7 g cm⁻³. The space group is Fm-3m.


14.
Np2O5: optimized geometry, PBE.

Geometry as POSCAR:
```
Np2O5
1.0
1.6696 -4.0625 -2.4223
0.4163 -2.6306 4.6987
-6.4933 1.4513 -1.7163
Np O
4 10
direct
0.8776 0.1245 0.7552
0.1224 0.8755 0.2448
0.3776 0.6307 0.7552
0.6224 0.3693 0.2448
0.4776 0.7276 0.4551
0.2500 0.5000 0.0000
0.7500 0.5000 0.0000
0.4157 0.0444 0.8314
0.5843 0.9556 0.1686
0.0224 0.2724 0.5449
0.9776 0.7276 0.4551
0.5224 0.2724 0.5449
0.9157 0.7871 0.8314
0.0843 0.2129 0.1686
```

The calculation puts the total magnetization at 8.0 μB/cell. For the theoretical density, the calculation gives 11.7 g cm⁻³. The value obtained for the offset from the most stable computed form is 0.276 eV/atom. As for the uncorrected formation energy: -18.6 eV/f.u. The space group is Ibam.


15.
NpO4: optimized geometry, PBE.

Geometry as POSCAR:
```
NpO4
1.0
-1.2844 2.7181 -2.8312
-3.4962 0.5612 2.1249
1.7834 3.0578 2.1266
O Np
4 1
direct
0.0000 0.5000 0.5000
0.0000 0.0000 0.0000
0.5000 0.0000 0.5000
0.5000 0.5000 0.0000
0.5000 0.5000 0.5000
```

The calculation puts the total magnetization at 2.8 μB/cell. For the theoretical density, the calculation gives 7.1 g cm⁻³. The value obtained for the offset from the most stable computed form is 0.379 eV/atom. As for the uncorrected formation energy: -7.7 eV/f.u. The space group is Pm-3m.


16.
Np4O: optimized geometry, PBE.

Geometry as POSCAR:
```
Np4O
1.0
4.6801 0.0000 0.0000
0.0000 4.6801 0.0000
0.0000 0.0000 4.6801
Np O
4 1
direct
0.5000 0.5000 0.0000
0.0000 0.5000 0.5000
0.5000 0.0000 0.5000
0.0000 0.0000 0.0000
0.5000 0.5000 0.5000
```

The calculation puts the total magnetization at 14.1 μB/cell. For the theoretical density, the calculation gives 15.6 g cm⁻³. As for the uncorrected formation energy: -1.6 eV/f.u. The space group is Pm-3m.


17.
Np2O5: optimized geometry, PBE.

Geometry as POSCAR:
```
Np2O5
1.0
5.7105 -0.0011 -0.0015
1.8110 5.4157 -0.0015
2.8122 2.0245 7.2469
O Np
10 4
direct
0.6046 0.3954 0.2500
0.7401 0.8008 0.3613
0.1928 0.7900 0.4623
0.8008 0.7401 0.8613
0.7900 0.1928 0.9623
0.2100 0.8072 0.0377
0.1992 0.2599 0.1387
0.8072 0.2100 0.5377
0.2599 0.1992 0.6387
0.3954 0.6046 0.7500
0.5000 0.5000 0.0000
0.0367 0.9633 0.7500
0.5000 0.5000 0.5000
0.9633 0.0367 0.2500
```

The calculation puts the total magnetization at 8.0 μB/cell. For the theoretical density, the calculation gives 8.2 g cm⁻³. The value obtained for the offset from the most stable computed form is 0.000 eV/atom. As for the uncorrected formation energy: -20.5 eV/f.u. The space group is C2/c.


18.
Np3O8: optimized geometry, PBE.

Geometry as POSCAR:
```
Np3O8
1.0
5.2150 -0.0022 -0.0015
-0.0015 5.2150 -0.0015
-0.0022 -0.0022 5.2150
O Np
8 3
direct
0.2593 0.7405 0.7406
0.7403 0.7403 0.7403
0.7406 0.2593 0.7405
0.2597 0.2597 0.2597
0.2594 0.7407 0.2595
0.2595 0.2594 0.7407
0.7405 0.7406 0.2593
0.7407 0.2595 0.2594
0.5000 0.5000 0.0000
0.0000 0.5000 0.5000
0.5000 0.0000 0.5000
```

The calculation puts the total magnetization at 5.0 μB/cell. For the theoretical density, the calculation gives 9.8 g cm⁻³. As for the uncorrected formation energy: -30.0 eV/f.u. The space group is Pm-3m.


19.
NpO4: optimized geometry, PBE.

Geometry as POSCAR:
```
NpO4
1.0
-3.7239 4.2864 -2.2080
-0.5990 -2.1838 5.4834
3.5801 4.1666 2.0504
O Np
8 2
direct
0.5032 0.1990 0.0867
0.4968 0.8010 0.9133
0.4649 0.2394 0.6416
0.0351 0.7606 0.6416
0.5351 0.7606 0.3584
0.9968 0.8010 0.0867
0.9649 0.2394 0.3584
0.0032 0.1990 0.9133
0.2500 0.0000 0.8555
0.7500 0.0000 0.1445
```

The calculation puts the total magnetization at 1.9 μB/cell. For the theoretical density, the calculation gives 5.6 g cm⁻³. The value obtained for the offset from the most stable computed form is 0.000 eV/atom. As for the uncorrected formation energy: -9.6 eV/f.u. The space group is P2/c.


20.
NpOsO: optimized geometry, PBE.

Geometry as POSCAR:
```
NpOsO
1.0
3.9220 0.0000 0.0000
1.9610 3.3966 0.0000
1.9610 1.1322 8.2283
Np O Os
2 2 2
direct
0.7744 0.7744 0.6768
0.2256 0.2256 0.3232
0.1307 0.1307 0.6080
0.8693 0.8693 0.3920
0.6519 0.6519 0.0442
0.3481 0.3481 0.9558
```

The calculation puts the total magnetization at 7.6 μB/cell. For the theoretical density, the calculation gives 13.4 g cm⁻³. As for the uncorrected formation energy: -3.7 eV/f.u. The space group is R-3m.